1.
Below is a relaxed structure of Y3Tm4Sc, with properties calculated at the PBE level.

The structure belongs to space group Pmn2_1 (No. 31); the cell edges are 11.056, 7.141 and 6.166 Å and the angles 90.00°, 90.00° and 90.00°. The inequivalent atoms are Y at (0.000, 0.125, 0.000), Y at (0.249, 0.125, 0.336), Tm at (0.000, 0.377, 0.507), Tm at (0.000, 0.624, 0.003), Tm at (0.246, 0.625, 0.338) and Sc at (0.000, 0.873, 0.501).

The distance to the lowest polymorph of the same formula comes out at 0.00 eV/f.u. The formation energy comes out at 0.9 kJ per mole of atoms. The crystal system is orthorhombic. As for the electronic total energy: -5.44 eV/atom.

=====

2.
Below is a relaxed structure of ThAgSbSe, with properties calculated at the PBE level.

The structure belongs to space group P4/nmm (No. 129, origin choice 2); the cell edges are 4.588, 4.588 and 9.457 Å and the angles 90.00°, 90.00° and 90.00°. The inequivalent atoms are Th at (0.250, 0.250, 0.198), Ag at (0.250, 0.750, 0.500), Sb at (0.250, 0.250, 0.688) and Se at (0.250, 0.750, 0.000).

The crystal system is tetragonal. The uncorrected formation energy comes out at -887 meV/atom. As for the electronic total energy: -5.36 eV/atom.

=====

3.
Below is a relaxed structure of Y2TlBi, with properties calculated at the PBE level.

The structure belongs to space group P4/mmm (No. 123); the cell edges are 4.031, 4.031 and 7.029 Å and the angles 90.00°, 90.00° and 90.00°. The inequivalent atoms are Y at (0.000, 0.000, 0.246), Tl at (0.500, 0.500, 0.500) and Bi at (0.500, 0.500, 0.000).

The distance to the lowest polymorph of the same formula comes out at 0.42 eV/f.u. The formation energy comes out at -49.0 kJ per mole of atoms. The crystal system is tetragonal. As for the electronic total energy: -5.30 eV/atom.

=====

4.
Below is a relaxed structure of ZrFeCo3, with properties calculated at the PBE level.

The structure belongs to space group Pm-3m (No. 221); the cell edges are 4.481, 4.481 and 4.481 Å and the angles 90.00°, 90.00° and 90.00°. The inequivalent atoms are Zr at (0.000, 0.000, 0.000), Fe at (0.500, 0.500, 0.500) and Co at (0.000, 0.000, 0.500).

The distance to the lowest polymorph of the same formula comes out at 8.28 eV/f.u. The formation energy comes out at 154.1 kJ per mole of atoms. The crystal system is cubic. As for the electronic total energy: -6.07 eV/atom.

=====

5.
Below is a relaxed structure of LiIn4Pd2, with properties calculated at the PBE level.

The structure belongs to space group P2_1/m (No. 11); the cell edges are 7.282, 6.118 and 7.400 Å and the angles 90.00°, 118.10° and 90.00°. The inequivalent atoms are Li at (0.243, 0.250, 0.341), In at (0.032, 0.750, 0.514), In at (0.059, 0.250, 0.915), In at (0.459, 0.503, 0.769), Pd at (0.228, 0.750, 0.933) and Pd at (0.356, 0.750, 0.410).

The distance to the lowest polymorph of the same formula comes out at 1.05 eV/f.u. The formation energy comes out at -27.9 kJ per mole of atoms. The crystal system is monoclinic. As for the electronic total energy: -3.61 eV/atom.

=====

6.
Below is a relaxed structure of Sm3HoSc2, with properties calculated at the PBE level.

The structure belongs to space group Cmcm (No. 63); the cell edges are 14.429, 9.732 and 5.485 Å and the angles 90.00°, 90.00° and 90.00°. The inequivalent atoms are Sm at (0.000, 0.093, 0.250), Sm at (0.244, 0.133, 0.250), Ho at (0.000, 0.278, 0.750) and Sc at (0.104, 0.407, 0.250).

The distance to the lowest polymorph of the same formula comes out at 1.35 eV/f.u. The formation energy comes out at 26.8 kJ per mole of atoms. The crystal system is orthorhombic. As for the electronic total energy: -4.96 eV/atom.